[1]
# PBE-GGA Sm2Tc2Ge2C, relaxed
data_Sm2Tc2Ge2C
_cell_length_a 11.1206
_cell_length_b 4.0761
_cell_length_c 7.1453
_cell_angle_alpha 90.00
_cell_angle_beta 126.47
_cell_angle_gamma 90.00
_symmetry_space_group_name_H-M 'C 1 2/m 1'
_symmetry_Int_Tables_number 12
_symmetry_space_group_name_Hall '-C 2y'
loop_
_atom_site_label
_atom_site_type_symbol
_atom_site_fract_x
_atom_site_fract_y
_atom_site_fract_z
Sm1 Sm 0.0675 0.0000 0.2946
Tc1 Tc 0.2006 0.5000 0.0846
Ge1 Ge 0.1498 0.5000 0.6888
C1 C 0.0000 0.5000 0.0000
# **E**: -7.53 eV/atom
# **Energy of formation**: -0.587 eV per atom


[2]
# PBE-GGA CoCN, relaxed
data_CoCN
_cell_length_a 2.8314
_cell_length_b 2.9431
_cell_length_c 7.6855
_cell_angle_alpha 90.00
_cell_angle_beta 90.00
_cell_angle_gamma 90.00
_symmetry_space_group_name_H-M 'I m m 2'
_symmetry_Int_Tables_number 44
_symmetry_space_group_name_Hall 'I 2 -2'
loop_
_atom_site_label
_atom_site_type_symbol
_atom_site_fract_x
_atom_site_fract_y
_atom_site_fract_z
Co1 Co 0.0000 0.0000 0.0000
C1 C 0.0000 0.5000 0.3260
N1 N 0.0000 0.5000 0.1660
# **E**: -7.69 eV/atom


[3]
# PBE-GGA BeReSeBr2, relaxed
data_BeReSeBr2
_cell_length_a 4.5050
_cell_length_b 4.5050
_cell_length_c 4.6416
_cell_angle_alpha 90.00
_cell_angle_beta 90.00
_cell_angle_gamma 90.00
_symmetry_space_group_name_H-M 'P 4/m m m'
_symmetry_Int_Tables_number 123
_symmetry_space_group_name_Hall '-P 4 2'
loop_
_atom_site_label
_atom_site_type_symbol
_atom_site_fract_x
_atom_site_fract_y
_atom_site_fract_z
Be1 Be 0.0000 0.0000 0.0000
Re1 Re 0.5000 0.5000 0.5000
Se1 Se 0.0000 0.0000 0.5000
Br1 Br 0.0000 0.5000 0.0000
# **E**: -3.45 eV/atom


[4]
# PBE-GGA Ho8InOs2, relaxed
data_Ho8InOs2
_cell_length_a 17.3205
_cell_length_b 5.2073
_cell_length_c 6.9351
_cell_angle_alpha 90.00
_cell_angle_beta 113.47
_cell_angle_gamma 90.00
_symmetry_space_group_name_H-M 'C 1 m 1'
_symmetry_Int_Tables_number 8
_symmetry_space_group_name_Hall 'C -2y'
loop_
_atom_site_label
_atom_site_type_symbol
_atom_site_fract_x
_atom_site_fract_y
_atom_site_fract_z
Ho1 Ho 0.0000 0.0000 0.0000
Ho2 Ho 0.0017 0.5000 0.2741
Ho3 Ho 0.1103 0.5000 0.8378
Ho4 Ho 0.1712 0.0000 0.5313
Ho5 Ho 0.2109 0.0000 0.1131
Ho6 Ho 0.2905 0.5000 0.6944
Ho7 Ho 0.3309 0.5000 0.1923
Ho8 Ho 0.3906 0.0000 0.6157
In1 In 0.0011 0.0000 0.5685
Os1 Os 0.1717 0.5000 0.2683
Os2 Os 0.3315 0.0000 0.9278
# **E**: -5.83 eV/atom
# **Energy of formation**: -0.213 eV per atom


[5]
# PBE-GGA FeSb2SN, relaxed
data_FeSb2SN
_cell_length_a 5.1405
_cell_length_b 5.1405
_cell_length_c 3.4164
_cell_angle_alpha 90.00
_cell_angle_beta 90.00
_cell_angle_gamma 90.00
_symmetry_space_group_name_H-M 'P 4/m m m'
_symmetry_Int_Tables_number 123
_symmetry_space_group_name_Hall '-P 4 2'
loop_
_atom_site_label
_atom_site_type_symbol
_atom_site_fract_x
_atom_site_fract_y
_atom_site_fract_z
Fe1 Fe 0.0000 0.0000 0.0000
Sb1 Sb 0.0000 0.5000 0.0000
S1 S 0.5000 0.5000 0.5000
N1 N 0.0000 0.0000 0.5000
# **E**: -5.63 eV/atom


[6]
# PBE-GGA NpCrSiTc, relaxed
data_NpCrSiTc
_cell_length_a 6.2626
_cell_length_b 6.2626
_cell_length_c 6.2626
_cell_angle_alpha 90.00
_cell_angle_beta 90.00
_cell_angle_gamma 90.00
_symmetry_space_group_name_H-M 'F -4 3 m'
_symmetry_Int_Tables_number 216
_symmetry_space_group_name_Hall 'F -4 2 3'
loop_
_atom_site_label
_atom_site_type_symbol
_atom_site_fract_x
_atom_site_fract_y
_atom_site_fract_z
Np1 Np 0.0000 0.0000 0.0000
Cr1 Cr 0.2500 0.2500 0.7500
Si1 Si 0.0000 0.0000 0.5000
Tc1 Tc 0.2500 0.2500 0.2500
# **E**: -9.59 eV/atom


[7]
# PBE-GGA Pd7Pt2, relaxed
data_Pd7Pt2
_cell_length_a 7.7114
_cell_length_b 7.7114
_cell_length_c 2.7284
_cell_angle_alpha 90.00
_cell_angle_beta 90.00
_cell_angle_gamma 120.00
_symmetry_space_group_name_H-M 'P -6 2 m'
_symmetry_Int_Tables_number 189
_symmetry_space_group_name_Hall 'P -6 -2'
loop_
_atom_site_label
_atom_site_type_symbol
_atom_site_fract_x
_atom_site_fract_y
_atom_site_fract_z
Pd1 Pd 0.0000 0.0000 0.0000
Pd2 Pd 0.0000 0.3088 0.5000
Pd3 Pd 0.0000 0.6416 0.0000
Pt1 Pt 0.3333 0.6667 0.5000
# **E**: -5.34 eV/atom
# **Energy of formation**: 0.046 eV per atom


[8]
# PBE-GGA ZnTcSb, relaxed
data_ZnTcSb
_cell_length_a 6.1815
_cell_length_b 6.1815
_cell_length_c 6.1815
_cell_angle_alpha 90.00
_cell_angle_beta 90.00
_cell_angle_gamma 90.00
_symmetry_space_group_name_H-M 'F -4 3 m'
_symmetry_Int_Tables_number 216
_symmetry_space_group_name_Hall 'F -4 2 3'
loop_
_atom_site_label
_atom_site_type_symbol
_atom_site_fract_x
_atom_site_fract_y
_atom_site_fract_z
Zn1 Zn 0.0000 0.0000 0.0000
Tc1 Tc 0.2500 0.2500 0.7500
Sb1 Sb 0.0000 0.0000 0.5000
# **E**: -5.02 eV/atom